## LiSm2Cu3Ni12 (PBE)

Data for an optimized crystal structure of LiSm2Cu3Ni12.

Cell lengths 9.0579, 9.0579, 9.0579 Å; angles 38.62, 38.62, 38.62 degrees
With the nearest neighbours (Å) after each atom.
Sites, in units of the cell vectors:
1 Li 0.0000 0.0000 0.0000  6 Ni 2.27
2 Sm 0.3436 0.3436 0.3436  6 Ni 2.89-2.93
3 Sm 0.6564 0.6564 0.6564  6 Ni 2.89-2.93
4 Cu 0.0000 0.0000 0.5000  6 Ni 2.36-2.43
5 Cu 0.0000 0.5000 0.0000  6 Ni 2.36-2.43
6 Cu 0.5000 0.0000 0.0000  6 Ni 2.36-2.43
7 Ni 0.0654 0.0654 0.6571  1 Li 2.27, 4 Ni 2.34-2.45, 1 Cu 2.43
8 Ni 0.0654 0.6571 0.0654  1 Li 2.27, 4 Ni 2.34-2.45, 1 Cu 2.43
9 Ni 0.1872 0.5769 0.5769  4 Ni 2.33-2.34, 2 Cu 2.36
10 Ni 0.3429 0.9346 0.9346  1 Li 2.27, 4 Ni 2.34-2.45, 1 Cu 2.43
11 Ni 0.4231 0.4231 0.8128  4 Ni 2.33-2.34, 2 Cu 2.36
12 Ni 0.4231 0.8128 0.4231  4 Ni 2.33-2.34, 2 Cu 2.36
13 Ni 0.5769 0.1872 0.5769  4 Ni 2.33-2.34, 2 Cu 2.36
14 Ni 0.5769 0.5769 0.1872  4 Ni 2.33-2.34, 2 Cu 2.36
15 Ni 0.6571 0.0654 0.0654  1 Li 2.27, 4 Ni 2.34-2.45, 1 Cu 2.43
16 Ni 0.8128 0.4231 0.4231  4 Ni 2.33-2.34, 2 Cu 2.36
17 Ni 0.9346 0.3429 0.9346  1 Li 2.27, 4 Ni 2.34-2.45, 1 Cu 2.43
18 Ni 0.9346 0.9346 0.3429  1 Li 2.27, 4 Ni 2.34-2.45, 1 Cu 2.43

Crystal system: trigonal
DOS at the Fermi energy: 26.66 states/eV/cell
ΔH_f (0 K): 0.2565 eV/atom
E: -4.91 eV per atom
Total moment: 1.4 μB per cell
Density: 7.675 g/cm³

## Sr2Li3Cu12Ni (PBE)

Data for an optimized crystal structure of Sr2Li3Cu12Ni.

Cell lengths 9.6977, 9.6977, 9.6977 Å; angles 37.03, 37.03, 37.03 degrees
With the nearest neighbours (Å) after each atom.
Sites, in units of the cell vectors:
1 Sr 0.1520 0.1520 0.1520  12 Cu 3.12-3.48
2 Sr 0.8480 0.8480 0.8480  12 Cu 3.12-3.48
3 Li 0.0000 0.5000 0.5000  6 Cu 2.39-2.55
4 Li 0.5000 0.0000 0.5000  6 Cu 2.39-2.55
5 Li 0.5000 0.5000 0.0000  6 Cu 2.39-2.55
6 Cu 0.0821 0.0821 0.6893  2 Li 2.39, 4 Cu 2.42-2.46
7 Cu 0.0821 0.6893 0.0821  2 Li 2.39, 4 Cu 2.42-2.46
8 Cu 0.1577 0.5613 0.5613  1 Ni 2.45, 4 Cu 2.46-2.49, 1 Li 2.55
9 Cu 0.3107 0.9179 0.9179  2 Li 2.39, 4 Cu 2.42-2.46
10 Cu 0.4387 0.4387 0.8423  1 Ni 2.45, 4 Cu 2.46-2.49, 1 Li 2.55
11 Cu 0.4387 0.8423 0.4387  1 Ni 2.45, 4 Cu 2.46-2.49, 1 Li 2.55
12 Cu 0.5613 0.1577 0.5613  1 Ni 2.45, 4 Cu 2.46-2.49, 1 Li 2.55
13 Cu 0.5613 0.5613 0.1577  1 Ni 2.45, 4 Cu 2.46-2.49, 1 Li 2.55
14 Cu 0.6893 0.0821 0.0821  2 Li 2.39, 4 Cu 2.42-2.46
15 Cu 0.8423 0.4387 0.4387  1 Ni 2.45, 4 Cu 2.46-2.49, 1 Li 2.55
16 Cu 0.9179 0.3107 0.9179  2 Li 2.39, 4 Cu 2.42-2.46
17 Cu 0.9179 0.9179 0.3107  2 Li 2.39, 4 Cu 2.42-2.46
18 Ni 0.5000 0.5000 0.5000  6 Cu 2.45

Crystal system: trigonal
DOS at the Fermi energy: 3.98 states/eV/cell
ΔH_f (0 K): 0.1579 eV/atom
E: -3.40 eV per atom
Total moment: 0.0 μB per cell
Density: 5.698 g/cm³

## Li3Tb2Cu12Ni (PBE)

Data for an optimized crystal structure of Li3Tb2Cu12Ni.

Cell lengths 11.7875, 11.7875, 11.7875 Å; angles 25.62, 25.62, 25.62 degrees
With the nearest neighbours (Å) after each atom.
Sites, in units of the cell vectors:
1 Li 0.0000 0.5000 0.5000  4 Cu 2.46, 4 Li 2.61
2 Li 0.5000 0.0000 0.5000  4 Cu 2.46, 4 Li 2.61
3 Li 0.5000 0.5000 0.0000  4 Cu 2.46, 4 Li 2.61
4 Tb 0.1450 0.1450 0.1450  9 Cu 2.87-3.08, 3 Ni 3.11
5 Tb 0.8550 0.8550 0.8550  9 Cu 2.87-3.08, 3 Ni 3.11
6 Cu 0.1017 0.1017 0.6296  4 Cu 2.43-2.47, 2 Li 2.46
7 Cu 0.1017 0.6296 0.1017  4 Cu 2.43-2.47, 2 Li 2.46
8 Cu 0.1146 0.6079 0.6079  6 Cu 2.43-2.65, 1 Ni 2.44
9 Cu 0.3704 0.8983 0.8983  4 Cu 2.43-2.47, 2 Li 2.46
10 Cu 0.3921 0.3921 0.8854  6 Cu 2.43-2.65, 1 Ni 2.44
11 Cu 0.3921 0.8854 0.3921  6 Cu 2.43-2.65, 1 Ni 2.44
12 Cu 0.6079 0.1146 0.6079  6 Cu 2.43-2.65, 1 Ni 2.44
13 Cu 0.6079 0.6079 0.1146  6 Cu 2.43-2.65, 1 Ni 2.44
14 Cu 0.6296 0.1017 0.1017  4 Cu 2.43-2.47, 2 Li 2.46
15 Cu 0.8854 0.3921 0.3921  6 Cu 2.43-2.65, 1 Ni 2.44
16 Cu 0.8983 0.3704 0.8983  4 Cu 2.43-2.47, 2 Li 2.46
17 Cu 0.8983 0.8983 0.3704  4 Cu 2.43-2.47, 2 Li 2.46
18 Ni 0.5000 0.5000 0.5000  6 Cu 2.44

Crystal system: trigonal
DOS at the Fermi energy: 10.08 states/eV/cell
ΔH_f (0 K): 0.0793 eV/atom
E: -3.81 eV per atom
Total moment: 0.0 μB per cell
Density: 7.142 g/cm³

## LiCuNi2Te (PBE)

Data for an optimized crystal structure of LiCuNi2Te.

Cell lengths 4.6642, 4.6642, 4.7989 Å; angles 90.00, 90.00, 90.00 degrees
With the nearest neighbours (Å) after each atom.
Sites, in units of the cell vectors:
1 Li 0.0000 0.0000 0.0000  2 Te 2.40
2 Cu 0.5000 0.5000 0.0000  4 Li 3.30, 8 Ni 3.35
3 Ni 0.0000 0.5000 0.5000  2 Te 2.33
4 Ni 0.5000 0.0000 0.5000  2 Te 2.33
5 Te 0.0000 0.0000 0.5000  4 Ni 2.33, 2 Li 2.40

Crystal system: tetragonal
DOS at the Fermi energy: 1.38 states/eV/cell
E: -3.51 eV per atom
Total moment: 0.0 μB per cell
Density: 5.018 g/cm³
Formation energy without anion corrections: 0.628 eV/atom

## LiThCuNi (PBE)

Data for an optimized crystal structure of LiThCuNi.

Cell lengths 4.7098, 4.7098, 4.7098 Å; angles 60.00, 60.00, 60.00 degrees
With the nearest neighbours (Å) after each atom.
Sites, in units of the cell vectors:
1 Li 0.0000 0.0000 0.0000  4 Cu 2.88, 4 Ni 2.88
2 Th 0.5000 0.5000 0.5000  4 Ni 2.88, 4 Cu 2.88
3 Cu 0.7500 0.7500 0.7500  4 Li 2.88, 4 Th 2.88
4 Ni 0.2500 0.2500 0.2500  4 Th 2.88, 4 Li 2.88

Crystal system: cubic
DOS at the Fermi energy: 4.09 states/eV/cell
ΔH_f (0 K): -0.0545 eV/atom
E: -4.86 eV per atom
Total moment: 0.0 μB per cell
Density: 8.120 g/cm³

## Li3Th2Cu12Ni (PBE)

Data for an optimized crystal structure of Li3Th2Cu12Ni.

Cell lengths 10.6766, 10.6766, 10.6766 Å; angles 30.67, 30.67, 30.67 degrees
With the nearest neighbours (Å) after each atom.
Sites, in units of the cell vectors:
1 Li 0.0000 0.5000 0.5000  4 Cu 2.37
2 Li 0.5000 0.0000 0.5000  4 Cu 2.37
3 Li 0.5000 0.5000 0.0000  4 Cu 2.37
4 Th 0.1442 0.1442 0.1442  12 Cu 3.09-3.15, 3 Ni 3.33
5 Th 0.8558 0.8558 0.8558  12 Cu 3.09-3.15, 3 Ni 3.33
6 Cu 0.0891 0.0891 0.6667  2 Li 2.37, 4 Cu 2.39-2.41
7 Cu 0.0891 0.6667 0.0891  2 Li 2.37, 4 Cu 2.39-2.41
8 Cu 0.1292 0.5903 0.5903  4 Cu 2.41-2.60, 1 Ni 2.45
9 Cu 0.3333 0.9109 0.9109  2 Li 2.37, 4 Cu 2.39-2.41
10 Cu 0.4097 0.4097 0.8708  4 Cu 2.41-2.60, 1 Ni 2.45
11 Cu 0.4097 0.8708 0.4097  4 Cu 2.41-2.60, 1 Ni 2.45
12 Cu 0.5903 0.1292 0.5903  4 Cu 2.41-2.60, 1 Ni 2.45
13 Cu 0.5903 0.5903 0.1292  4 Cu 2.41-2.60, 1 Ni 2.45
14 Cu 0.6667 0.0891 0.0891  2 Li 2.37, 4 Cu 2.39-2.41
15 Cu 0.8708 0.4097 0.4097  4 Cu 2.41-2.60, 1 Ni 2.45
16 Cu 0.9109 0.3333 0.9109  2 Li 2.37, 4 Cu 2.39-2.41
17 Cu 0.9109 0.9109 0.3333  2 Li 2.37, 4 Cu 2.39-2.41
18 Ni 0.5000 0.5000 0.5000  6 Cu 2.45

Crystal system: trigonal
DOS at the Fermi energy: 9.94 states/eV/cell
ΔH_f (0 K): 0.1457 eV/atom
E: -4.05 eV per atom
Total moment: 0.0 μB per cell
Density: 7.726 g/cm³

## LiTh2Cu12Ni3 (PBE)

Data for an optimized crystal structure of LiTh2Cu12Ni3.

Cell lengths 6.3996, 6.3996, 6.3996 Å; angles 82.34, 82.34, 82.34 degrees
With the nearest neighbours (Å) after each atom.
Sites, in units of the cell vectors:
1 Li 0.0000 0.0000 0.0000  6 Cu 2.32
2 Th 0.2478 0.2478 0.2478  3 Ni 2.63, 3 Cu 2.87
3 Th 0.7522 0.7522 0.7522  3 Ni 2.63, 3 Cu 2.87
4 Cu 0.1607 0.5716 0.5716  6 Cu 2.45-2.67
5 Cu 0.1969 0.1969 0.7311  1 Li 2.32, 5 Cu 2.45-2.49
6 Cu 0.1969 0.7311 0.1969  1 Li 2.32, 5 Cu 2.45-2.49
7 Cu 0.2689 0.8031 0.8031  1 Li 2.32, 5 Cu 2.45-2.49
8 Cu 0.4284 0.4284 0.8393  6 Cu 2.45-2.67
9 Cu 0.4284 0.8393 0.4284  6 Cu 2.45-2.67
10 Cu 0.5716 0.1607 0.5716  6 Cu 2.45-2.67
11 Cu 0.5716 0.5716 0.1607  6 Cu 2.45-2.67
12 Cu 0.7311 0.1969 0.1969  1 Li 2.32, 5 Cu 2.45-2.49
13 Cu 0.8031 0.2689 0.8031  1 Li 2.32, 5 Cu 2.45-2.49
14 Cu 0.8031 0.8031 0.2689  1 Li 2.32, 5 Cu 2.45-2.49
15 Cu 0.8393 0.4284 0.4284  6 Cu 2.45-2.67
16 Ni 0.0000 0.0000 0.5000  10 Cu 2.60-2.82, 2 Th 2.63
17 Ni 0.0000 0.5000 0.0000  10 Cu 2.60-2.82, 2 Th 2.63
18 Ni 0.5000 0.0000 0.0000  10 Cu 2.60-2.82, 2 Th 2.63

Crystal system: trigonal
DOS at the Fermi energy: 7.39 states/eV/cell
ΔH_f (0 K): 0.0068 eV/atom
E: -4.62 eV per atom
Total moment: 0.0 μB per cell
Density: 9.157 g/cm³

## LiTlCu2Ni (PBE)

Data for an optimized crystal structure of LiTlCu2Ni.

Cell lengths 4.1214, 4.1214, 4.6471 Å; angles 90.00, 90.00, 90.00 degrees
With the nearest neighbours (Å) after each atom.
Sites, in units of the cell vectors:
1 Li 0.0000 0.0000 0.0000  4 Cu 2.06
2 Tl 0.0000 0.0000 0.5000  2 Li 2.32
3 Cu 0.0000 0.5000 0.0000  2 Li 2.06
4 Cu 0.5000 0.0000 0.0000  2 Li 2.06
5 Ni 0.5000 0.5000 0.5000  4 Tl 2.91, 8 Cu 3.11

Crystal system: tetragonal
DOS at the Fermi energy: 2.92 states/eV/cell
ΔH_f (0 K): 0.8012 eV/atom
E: -2.85 eV per atom
Total moment: 0.0 μB per cell
Density: 8.354 g/cm³

## LiTlCuNi (PBE)

Data for an optimized crystal structure of LiTlCuNi.

Cell lengths 4.3504, 4.3504, 4.3504 Å; angles 60.00, 60.00, 60.00 degrees
With the nearest neighbours (Å) after each atom.
Sites, in units of the cell vectors:
1 Li 0.0000 0.0000 0.0000  4 Tl 2.66, 4 Cu 2.66
2 Tl 0.2500 0.2500 0.2500  4 Li 2.66, 4 Ni 2.66
3 Cu 0.7500 0.7500 0.7500  4 Li 2.66, 4 Ni 2.66
4 Ni 0.5000 0.5000 0.5000  4 Tl 2.66, 4 Cu 2.66

Crystal system: cubic
DOS at the Fermi energy: 1.35 states/eV/cell
ΔH_f (0 K): 0.0101 eV/atom
E: -3.53 eV per atom
Total moment: 0.0 μB per cell
Density: 9.514 g/cm³

## LiTm2Cu12Ni3 (PBE)

Data for an optimized crystal structure of LiTm2Cu12Ni3.

Cell lengths 6.3080, 6.3080, 6.3080 Å; angles 82.97, 82.97, 82.97 degrees
With the nearest neighbours (Å) after each atom.
Sites, in units of the cell vectors:
1 Li 0.0000 0.0000 0.0000  6 Cu 2.35
2 Tm 0.2558 0.2558 0.2558  3 Ni 2.65, 6 Cu 2.75-2.90
3 Tm 0.7442 0.7442 0.7442  3 Ni 2.65, 6 Cu 2.75-2.90
4 Cu 0.1454 0.5786 0.5786  6 Cu 2.40-2.63
5 Cu 0.1975 0.1975 0.7212  1 Li 2.35, 5 Cu 2.40-2.48, 1 Ni 2.51
6 Cu 0.1975 0.7212 0.1975  1 Li 2.35, 5 Cu 2.40-2.48, 1 Ni 2.51
7 Cu 0.2788 0.8025 0.8025  1 Li 2.35, 5 Cu 2.40-2.48, 1 Ni 2.51
8 Cu 0.4214 0.4214 0.8546  6 Cu 2.40-2.63
9 Cu 0.4214 0.8546 0.4214  6 Cu 2.40-2.63
10 Cu 0.5786 0.1454 0.5786  6 Cu 2.40-2.63
11 Cu 0.5786 0.5786 0.1454  6 Cu 2.40-2.63
12 Cu 0.7212 0.1975 0.1975  1 Li 2.35, 5 Cu 2.40-2.48, 1 Ni 2.51
13 Cu 0.8025 0.2788 0.8025  1 Li 2.35, 5 Cu 2.40-2.48, 1 Ni 2.51
14 Cu 0.8025 0.8025 0.2788  1 Li 2.35, 5 Cu 2.40-2.48, 1 Ni 2.51
15 Cu 0.8546 0.4214 0.4214  6 Cu 2.40-2.63
16 Ni 0.0000 0.0000 0.5000  6 Cu 2.51-2.71, 2 Tm 2.65
17 Ni 0.0000 0.5000 0.0000  6 Cu 2.51-2.71, 2 Tm 2.65
18 Ni 0.5000 0.0000 0.0000  6 Cu 2.51-2.71, 2 Tm 2.65

Crystal system: trigonal
DOS at the Fermi energy: 6.42 states/eV/cell
ΔH_f (0 K): -0.0155 eV/atom
E: -4.31 eV per atom
Total moment: 0.0 μB per cell
Density: 8.671 g/cm³

## Li2CuNiW (PBE)

Data for an optimized crystal structure of Li2CuNiW.

Cell lengths 3.9539, 3.9539, 4.4852 Å; angles 90.00, 90.00, 90.00 degrees
With the nearest neighbours (Å) after each atom.
Sites, in units of the cell vectors:
1 Li 0.0000 0.5000 0.0000  2 Cu 1.98
2 Li 0.5000 0.0000 0.0000  2 Cu 1.98
3 Cu 0.0000 0.0000 0.0000  4 Li 1.98
4 Ni 0.0000 0.0000 0.5000  2 Cu 2.24
5 W 0.5000 0.5000 0.5000  4 Ni 2.80, 8 Li 2.99

Crystal system: tetragonal
DOS at the Fermi energy: 4.28 states/eV/cell
ΔH_f (0 K): 1.0832 eV/atom
E: -4.25 eV per atom
Total moment: 2.2 μB per cell
Density: 7.577 g/cm³

## Li3Y2Cu12Ni (PBE)

Data for an optimized crystal structure of Li3Y2Cu12Ni.

Cell lengths 11.6441, 11.6441, 11.6441 Å; angles 26.19, 26.19, 26.19 degrees
With the nearest neighbours (Å) after each atom.
Sites, in units of the cell vectors:
1 Li 0.0000 0.5000 0.5000  4 Cu 2.45, 4 Li 2.64
2 Li 0.5000 0.0000 0.5000  4 Cu 2.45, 4 Li 2.64
3 Li 0.5000 0.5000 0.0000  4 Cu 2.45, 4 Li 2.64
4 Y 0.1447 0.1447 0.1447  9 Cu 2.89-3.08, 3 Ni 3.13
5 Y 0.8553 0.8553 0.8553  9 Cu 2.89-3.08, 3 Ni 3.13
6 Cu 0.0998 0.0998 0.6337  4 Cu 2.42-2.46, 2 Li 2.45
7 Cu 0.0998 0.6337 0.0998  4 Cu 2.42-2.46, 2 Li 2.45
8 Cu 0.1158 0.6067 0.6067  6 Cu 2.42-2.69, 1 Ni 2.43
9 Cu 0.3663 0.9002 0.9002  4 Cu 2.42-2.46, 2 Li 2.45
10 Cu 0.3933 0.3933 0.8842  6 Cu 2.42-2.69, 1 Ni 2.43
11 Cu 0.3933 0.8842 0.3933  6 Cu 2.42-2.69, 1 Ni 2.43
12 Cu 0.6067 0.1158 0.6067  6 Cu 2.42-2.69, 1 Ni 2.43
13 Cu 0.6067 0.6067 0.1158  6 Cu 2.42-2.69, 1 Ni 2.43
14 Cu 0.6337 0.0998 0.0998  4 Cu 2.42-2.46, 2 Li 2.45
15 Cu 0.8842 0.3933 0.3933  6 Cu 2.42-2.69, 1 Ni 2.43
16 Cu 0.9002 0.3663 0.9002  4 Cu 2.42-2.46, 2 Li 2.45
17 Cu 0.9002 0.9002 0.3663  4 Cu 2.42-2.46, 2 Li 2.45
18 Ni 0.5000 0.5000 0.5000  6 Cu 2.43

Crystal system: trigonal
DOS at the Fermi energy: 11.87 states/eV/cell
ΔH_f (0 K): 0.0851 eV/atom
E: -4.00 eV per atom
Total moment: 0.0 μB per cell
Density: 6.251 g/cm³